Record 1
Compound: Na3In2Hg8
Source: Alexandria via LeMat-Bulk
Functional: GGA-PBE
Structure: relaxed

The structure in POSCAR format:
```
Na3In2Hg8
1.0
-4.562 -1.440 2.724
-3.897 -5.315 -4.906
2.001 -6.771 4.202
In Hg Na
2 8 3
Direct
0.355 0.296 0.296
0.645 0.704 0.704
0.073 0.859 0.859
0.683 0.588 0.072
0.927 0.141 0.141
0.780 0.425 0.425
0.317 0.928 0.412
0.317 0.412 0.928
0.220 0.575 0.575
0.683 0.072 0.588
0.500 0.000 0.000
0.000 0.745 0.255
0.000 0.255 0.745
```

## Properties
Polymorph energy (0 for the lowest one) in eV/atom: 0.000
Total magnetic moment in μB per formula unit: 0.00
VASP energy in Ry per atom: -0.0770
Formation energy in kJ/mol of atoms: -13.2

Record 2
Compound: Sm8Er3Sc2
Source: Alexandria via LeMat-Bulk
Functional: GGA-PBE
Structure: relaxed

The structure in POSCAR format:
```
Sm8Er3Sc2
1.0
6.282 0.447 2.329
2.371 8.034 4.346
1.047 0.487 9.366
Sc Sm Er
2 8 3
Direct
0.528 0.195 0.195
0.472 0.805 0.805
0.550 0.197 0.559
0.978 0.404 0.404
0.022 0.596 0.596
0.450 0.441 0.803
0.013 0.189 0.189
0.987 0.811 0.811
0.450 0.803 0.441
0.550 0.559 0.197
0.000 0.831 0.169
0.000 0.169 0.831
0.500 0.000 0.000
```

## Properties
Polymorph energy (0 for the lowest one) in eV/atom: 0.002
Total magnetic moment in μB per formula unit: 0.00
VASP energy in Ry per atom: -0.3462
Formation energy in kJ/mol of atoms: 21.3

Record 3
Compound: NaLaRu2O6
Source: Alexandria via LeMat-Bulk
Functional: GGA-PBE
Structure: relaxed

The structure in POSCAR format:
```
NaLaRu2O6
1.0
0.000 3.939 3.939
3.939 0.000 3.939
3.939 3.939 0.000
O Na La Ru
6 1 1 2
Direct
0.500 0.000 0.000
0.000 0.500 0.500
0.000 0.000 0.500
0.000 0.500 0.000
0.500 0.500 0.000
0.500 0.000 0.500
0.500 0.500 0.500
0.000 0.000 0.000
0.250 0.250 0.250
0.750 0.750 0.750
```

## Properties
Total magnetic moment in μB per formula unit: 3.15
Formation energy without anion corrections in eV/atom: -1.59
VASP energy in Ry per atom: -0.5175

Record 4
Compound: BiTeMoN2
Source: Alexandria via LeMat-Bulk
Functional: GGA-PBE
Structure: relaxed

The structure in POSCAR format:
```
BiTeMoN2
1.0
-2.574 -3.442 0.353
2.921 -2.398 -2.076
2.751 -1.484 5.585
Mo N Bi Te
1 2 1 1
Direct
0.500 0.500 0.500
0.000 0.500 0.000
0.500 0.000 0.000
0.000 0.000 0.000
0.000 0.000 0.500
```

## Properties
Polymorph energy (0 for the lowest one) in eV/atom: 1.243
Total magnetic moment in μB per formula unit: 2.34
Formation energy without anion corrections in eV/atom: 1.96
VASP energy in Ry per atom: -0.3629

- VASP energy of number 4 (BiTeMoN2)?
  -0.3629 Ry per atom

Copy entry 1 word for word.
Compound: Na3In2Hg8
Source: Alexandria via LeMat-Bulk
Functional: GGA-PBE
Structure: relaxed

The structure in POSCAR format:
```
Na3In2Hg8
1.0
-4.562 -1.440 2.724
-3.897 -5.315 -4.906
2.001 -6.771 4.202
In Hg Na
2 8 3
Direct
0.355 0.296 0.296
0.645 0.704 0.704
0.073 0.859 0.859
0.683 0.588 0.072
0.927 0.141 0.141
0.780 0.425 0.425
0.317 0.928 0.412
0.317 0.412 0.928
0.220 0.575 0.575
0.683 0.072 0.588
0.500 0.000 0.000
0.000 0.745 0.255
0.000 0.255 0.745
```

## Properties
Polymorph energy (0 for the lowest one) in eV/atom: 0.000
Total magnetic moment in μB per formula unit: 0.00
VASP energy in Ry per atom: -0.0770
Formation energy in kJ/mol of atoms: -13.2

- total magnetic moment of number 4 (BiTeMoN2)?
  2.34 μB per formula unit